DFT (GGA-PBE) results for a geometry-optimized TiSnIr3 structure.

Computed properties:
Calculated volume ... 99.97 Å³/cell
ΔE_f ... 916 meV per atom
Total moment ... 0.00 μB per cell
Energy ... -6.78 eV per atom

Cell lengths 4.641, 4.641, 4.641 Å; angles 90.00, 90.00, 90.00 degrees
Element x y z (fractional)
Ir1 0.000 0.000 0.500
Ir2 0.500 0.000 0.000
Ir3 0.000 0.500 0.000
Ti1 0.000 0.000 0.000
Sn1 0.500 0.500 0.500